This record from the Alexandria database describes a relaxed Ga2IrF2 crystal. The functional is PBE. Values from VASP.

Quantum ESPRESSO input file:
```
&SYSTEM
  ibrav = 0, nat = 5, ntyp = 3
/
ATOMIC_SPECIES
Ga 69.72 Ga.upf
Ir 192.22 Ir.upf
F 19.00 F.upf
CELL_PARAMETERS angstrom
-0.236 -1.749 4.525
-1.139 -4.383 -1.754
2.403 -3.818 1.256
ATOMIC_POSITIONS crystal
Ga 0.250 0.750 0.500
Ga 0.750 0.250 0.500
Ir 0.000 0.000 0.000
F 0.679 0.679 0.642
F 0.321 0.321 0.358
```

Crystal system: tetragonal
ΔE_f (raw), eV/f.u.: -3.230
DOS at the Fermi energy, states/eV/f.u.: 1.75

---

This record from the Alexandria database describes a relaxed Er6Cd5Sb crystal. The functional is PBE. Values from VASP.

Quantum ESPRESSO input file:
```
&SYSTEM
  ibrav = 0, nat = 12, ntyp = 3
/
ATOMIC_SPECIES
Er 167.26 Er.upf
Cd 112.41 Cd.upf
Sb 121.76 Sb.upf
CELL_PARAMETERS angstrom
5.080 -0.007 -1.426
-3.819 7.327 -3.865
-0.207 -1.131 9.049
ATOMIC_POSITIONS crystal
Er 0.248 0.082 0.413
Er 0.248 0.413 0.082
Er 0.752 0.587 0.918
Er 0.748 0.248 0.248
Er 0.252 0.752 0.752
Er 0.752 0.918 0.587
Cd 0.000 0.667 0.333
Cd 0.500 0.177 0.823
Cd 0.500 0.823 0.177
Cd 0.000 0.333 0.667
Cd 0.500 0.500 0.500
Sb 0.000 0.000 0.000
```

Crystal system: monoclinic
ΔE_f (raw), eV/f.u.: -4.816
DOS at the Fermi energy, states/eV/f.u.: 10.58

---

This record from the Alexandria database describes a relaxed BeZn2Re crystal. The functional is PBE. Values from VASP.

Quantum ESPRESSO input file:
```
&SYSTEM
  ibrav = 0, nat = 4, ntyp = 3
/
ATOMIC_SPECIES
Zn 65.41 Zn.upf
Be 9.01 Be.upf
Re 186.21 Re.upf
CELL_PARAMETERS angstrom
2.829 0.000 0.000
0.000 2.829 0.000
0.000 0.000 6.489
ATOMIC_POSITIONS crystal
Zn 0.500 0.500 0.280
Zn 0.000 0.000 0.002
Be 0.000 0.000 0.506
Re 0.500 0.500 0.712
```

Crystal system: tetragonal
E_form, eV per atom: 0.20
DOS at the Fermi energy, states/eV/f.u.: 2.91

---

This record from the Alexandria database describes a relaxed LiAgRu2 crystal. The functional is PBE. Values from VASP.

Quantum ESPRESSO input file:
```
&SYSTEM
  ibrav = 0, nat = 8, ntyp = 3
/
ATOMIC_SPECIES
Li 6.94 Li.upf
Ag 107.87 Ag.upf
Ru 101.07 Ru.upf
CELL_PARAMETERS angstrom
-3.343 1.119 -0.660
-1.296 -2.995 1.488
-2.557 3.506 9.149
ATOMIC_POSITIONS crystal
Li 0.500 0.500 0.000
Li 0.250 0.750 0.500
Ag 0.000 0.000 0.000
Ag 0.750 0.250 0.500
Ru 0.875 0.843 0.750
Ru 0.375 0.407 0.750
Ru 0.157 0.625 0.250
Ru 0.593 0.125 0.250
```

Crystal system: tetragonal
E_form, eV per atom: 0.57
DOS at the Fermi energy, states/eV/f.u.: 3.85